No. 1
A plane-wave DFT calculation with GGA-PBE was carried out for a relaxed LiMgPdAu crystal.

## Properties
E_form: -0.60 eV per atom

Geometry as POSCAR:
```
LiMgPdAu
1.0
-2.072 2.072 3.667
2.072 -2.072 3.667
2.072 2.072 -3.667
Li Mg Pd Au
1 1 1 1
Direct
0.000 0.000 0.000
0.500 0.500 0.000
0.250 0.750 0.500
0.750 0.250 0.500
```

---

No. 2
A plane-wave DFT calculation with GGA-PBE was carried out for a relaxed CaInRh2 crystal.

## Properties
E_form: -0.18 eV per atom

Geometry as POSCAR:
```
CaInRh2
1.0
3.056 0.000 0.000
0.000 4.294 0.000
0.000 0.000 5.680
Ca In Rh
1 1 2
Direct
0.000 0.000 0.000
0.500 0.500 0.327
0.000 0.000 0.513
0.500 0.500 0.798
```